A relaxed structure of ScTa2Ir. Source: the Alexandria database, functional PBE.

theoretical density: 14.244 g/cm³

```
data_ScTa2Ir
_space_group_name_H-M_alt 'C 1 2/m 1'
_space_group_IT_number 12
_cell_length_a 5.476
_cell_length_b 9.323
_cell_length_c 2.894
_cell_angle_alpha 90.00
_cell_angle_beta 108.98
_cell_angle_gamma 90.00
loop_
_space_group_symop_operation_xyz
'x,y,z'
'-x,-y,-z'
'-x,y,-z'
'x,-y,z'
'x+1/2,y+1/2,z'
'-x+1/2,-y+1/2,-z'
'-x+1/2,y+1/2,-z'
'x+1/2,-y+1/2,z'
loop_
_atom_site_label
_atom_site_type_symbol
_atom_site_fract_x
_atom_site_fract_y
_atom_site_fract_z
Sc1 Sc 0.000 0.000 0.000
Ta1 Ta 0.250 0.250 0.500
Ir1 Ir 0.000 0.500 0.000
```

***

A relaxed structure of ScTa2Ir. Source: the Alexandria database, functional PBE.

theoretical density: 13.998 g/cm³

```
data_ScTa2Ir
_space_group_name_H-M_alt 'C m m m'
_space_group_IT_number 65
_space_group_name_Hall '-C 2 2'
_cell_length_a 5.410
_cell_length_b 9.134
_cell_length_c 2.877
_cell_angle_alpha 90.00
_cell_angle_beta 90.00
_cell_angle_gamma 90.00
loop_
_atom_site_label
_atom_site_type_symbol
_atom_site_fract_x
_atom_site_fract_y
_atom_site_fract_z
Sc1 Sc 0.000 0.000 0.000
Ta1 Ta 0.250 0.250 0.500
Ir1 Ir 0.000 0.500 0.000
```

***

A relaxed structure of Sc3TaIr4. Source: the Alexandria database, functional PBE.

theoretical density: 13.404 g/cm³

```
data_Sc3TaIr4
_space_group_name_H-M_alt 'I 4/m m m'
_space_group_IT_number 139
_space_group_name_Hall '-I 4 2'
_cell_length_a 4.644
_cell_length_b 4.644
_cell_length_c 12.459
_cell_angle_alpha 90.00
_cell_angle_beta 90.00
_cell_angle_gamma 90.00
loop_
_atom_site_label
_atom_site_type_symbol
_atom_site_fract_x
_atom_site_fract_y
_atom_site_fract_z
Sc1 Sc 0.000 0.000 0.000
Sc2 Sc 0.000 0.000 0.249
Ta1 Ta 0.000 0.000 0.500
Ir1 Ir 0.000 0.500 0.122
```

***

A relaxed structure of Tb3Sc7Ir4. Source: the Alexandria database, functional PBE.

theoretical density: 8.323 g/cm³

```
data_Tb3Sc7Ir4
_space_group_name_H-M_alt 'C 1 2/m 1'
_space_group_IT_number 12
_cell_length_a 16.417
_cell_length_b 4.452
_cell_length_c 10.629
_cell_angle_alpha 90.00
_cell_angle_beta 126.73
_cell_angle_gamma 90.00
loop_
_space_group_symop_operation_xyz
'x,y,z'
'-x,-y,-z'
'-x,y,-z'
'x,-y,z'
'x+1/2,y+1/2,z'
'-x+1/2,-y+1/2,-z'
'-x+1/2,y+1/2,-z'
'x+1/2,-y+1/2,z'
loop_
_atom_site_label
_atom_site_type_symbol
_atom_site_fract_x
_atom_site_fract_y
_atom_site_fract_z
Tb1 Tb 0.000 0.000 0.000
Tb2 Tb 0.195 0.500 0.701
Sc1 Sc 0.000 0.000 0.500
Sc2 Sc 0.010 0.500 0.288
Sc3 Sc 0.166 0.000 0.418
Sc4 Sc 0.193 0.500 0.029
Ir1 Ir 0.103 0.000 0.840
Ir2 Ir 0.178 0.500 0.280
```

***

A relaxed structure of TbSc3Ir4. Source: the Alexandria database, functional PBE.

theoretical density: 12.453 g/cm³

```
data_TbSc3Ir4
_space_group_name_H-M_alt 'P 4/m m m'
_space_group_IT_number 123
_space_group_name_Hall '-P 4 2'
_cell_length_a 4.518
_cell_length_b 4.518
_cell_length_c 6.941
_cell_angle_alpha 90.00
_cell_angle_beta 90.00
_cell_angle_gamma 90.00
loop_
_atom_site_label
_atom_site_type_symbol
_atom_site_fract_x
_atom_site_fract_y
_atom_site_fract_z
Tb1 Tb 0.000 0.000 0.000
Sc1 Sc 0.000 0.000 0.500
Sc2 Sc 0.500 0.500 0.000
Sc3 Sc 0.500 0.500 0.500
Ir1 Ir 0.000 0.500 0.262
```

***

A relaxed structure of TbSc2Ir2. Source: the Alexandria database, functional PBE.

theoretical density: 9.899 g/cm³

```
data_TbSc2Ir2
_space_group_name_H-M_alt 'P -3 m 1'
_space_group_IT_number 164
_space_group_name_Hall '-P 3 2"'
_cell_length_a 4.6546
_cell_length_b 4.6546
_cell_length_c 5.6614
_cell_angle_alpha 90.00
_cell_angle_beta 90.00
_cell_angle_gamma 120.00
loop_
_atom_site_label
_atom_site_type_symbol
_atom_site_fract_x
_atom_site_fract_y
_atom_site_fract_z
Tb1 Tb 0.0000 0.0000 0.0000
Sc1 Sc 0.3333 0.6667 0.6549
Ir1 Ir 0.3333 0.6667 0.1782
```

***

A relaxed structure of TbSc5Ir6. Source: the Alexandria database, functional PBE.

theoretical density: 12.188 g/cm³

```
data_TbSc5Ir6
_space_group_name_H-M_alt 'C m m m'
_space_group_IT_number 65
_space_group_name_Hall '-C 2 2'
_cell_length_a 4.617
_cell_length_b 13.860
_cell_length_c 6.544
_cell_angle_alpha 90.00
_cell_angle_beta 90.00
_cell_angle_gamma 90.00
loop_
_atom_site_label
_atom_site_type_symbol
_atom_site_fract_x
_atom_site_fract_y
_atom_site_fract_z
Tb1 Tb 0.000 0.000 0.000
Sc1 Sc 0.000 0.000 0.500
Sc2 Sc 0.000 0.331 0.000
Sc3 Sc 0.000 0.333 0.500
Ir1 Ir 0.000 0.170 0.255
Ir2 Ir 0.000 0.500 0.260
```

***

A relaxed structure of TbSc2Ir3. Source: the Alexandria database, functional PBE.

theoretical density: 12.751 g/cm³

```
data_TbSc2Ir3
_space_group_name_H-M_alt 'P 4/m m m'
_space_group_IT_number 123
_space_group_name_Hall '-P 4 2'
_cell_length_a 3.187
_cell_length_b 3.187
_cell_length_c 10.587
_cell_angle_alpha 90.00
_cell_angle_beta 90.00
_cell_angle_gamma 90.00
loop_
_atom_site_label
_atom_site_type_symbol
_atom_site_fract_x
_atom_site_fract_y
_atom_site_fract_z
Tb1 Tb 0.000 0.000 0.000
Sc1 Sc 0.000 0.000 0.340
Ir1 Ir 0.500 0.500 0.186
Ir2 Ir 0.500 0.500 0.500
```

***

A relaxed structure of Tb2Sc3Ir2. Source: the Alexandria database, functional PBE.

theoretical density: 8.609 g/cm³

```
data_Tb2Sc3Ir2
_space_group_name_H-M_alt 'C 1 2/m 1'
_space_group_IT_number 12
_cell_length_a 11.376
_cell_length_b 3.760
_cell_length_c 8.439
_cell_angle_alpha 90.00
_cell_angle_beta 116.54
_cell_angle_gamma 90.00
loop_
_space_group_symop_operation_xyz
'x,y,z'
'-x,-y,-z'
'-x,y,-z'
'x,-y,z'
'x+1/2,y+1/2,z'
'-x+1/2,-y+1/2,-z'
'-x+1/2,y+1/2,-z'
'x+1/2,-y+1/2,z'
loop_
_atom_site_label
_atom_site_type_symbol
_atom_site_fract_x
_atom_site_fract_y
_atom_site_fract_z
Tb1 Tb 0.156 0.000 0.300
Sc1 Sc 0.000 0.500 0.500
Sc2 Sc 0.124 0.500 0.934
Ir1 Ir 0.165 0.000 0.734
```

***

A relaxed structure of Tb3Sc4Ir4. Source: the Alexandria database, functional PBE.

theoretical density: 9.935 g/cm³

```
data_Tb3Sc4Ir4
_space_group_name_H-M_alt 'I m m m'
_space_group_IT_number 71
_space_group_name_Hall '-I 2 2'
_cell_length_a 3.879
_cell_length_b 8.263
_cell_length_c 14.867
_cell_angle_alpha 90.00
_cell_angle_beta 90.00
_cell_angle_gamma 90.00
loop_
_atom_site_label
_atom_site_type_symbol
_atom_site_fract_x
_atom_site_fract_y
_atom_site_fract_z
Tb1 Tb 0.000 0.000 0.000
Tb2 Tb 0.000 0.500 0.107
Sc1 Sc 0.000 0.309 0.331
Ir1 Ir 0.000 0.000 0.235
Ir2 Ir 0.000 0.206 0.500
```

***

A relaxed structure of Tb3Sc3Tl2Ir. Source: the Alexandria database, functional PBE.

theoretical density: 8.828 g/cm³

```
data_Tb3Sc3Tl2Ir
_space_group_name_H-M_alt 'P -6 2 m'
_space_group_IT_number 189
_space_group_name_Hall 'P -6 -2'
_cell_length_a 7.7204
_cell_length_b 7.7204
_cell_length_c 4.4186
_cell_angle_alpha 90.00
_cell_angle_beta 90.00
_cell_angle_gamma 120.00
loop_
_atom_site_label
_atom_site_type_symbol
_atom_site_fract_x
_atom_site_fract_y
_atom_site_fract_z
Tb1 Tb 0.0000 0.4029 0.0000
Sc1 Sc 0.0000 0.7677 0.5000
Tl1 Tl 0.3333 0.6667 0.5000
Ir1 Ir 0.0000 0.0000 0.0000
```

***

A relaxed structure of TbYScIr. Source: the Alexandria database, functional PBE.

theoretical density: 8.841 g/cm³

```
data_TbYScIr
_space_group_name_H-M_alt 'F -4 3 m'
_space_group_IT_number 216
_space_group_name_Hall 'F -4 2 3'
_cell_length_a 7.143
_cell_length_b 7.143
_cell_length_c 7.143
_cell_angle_alpha 90.00
_cell_angle_beta 90.00
_cell_angle_gamma 90.00
loop_
_atom_site_label
_atom_site_type_symbol
_atom_site_fract_x
_atom_site_fract_y
_atom_site_fract_z
Tb1 Tb 0.000 0.000 0.000
Y1 Y 0.000 0.000 0.500
Sc1 Sc 0.250 0.250 0.750
Ir1 Ir 0.250 0.250 0.250
```

***

A relaxed structure of ScTcIr2. Source: the Alexandria database, functional PBE.

theoretical density: 13.933 g/cm³

```
data_ScTcIr2
_space_group_name_H-M_alt 'R -3 m'
_space_group_IT_number 166
_space_group_name_Hall '-R 3 2"'
_cell_length_a 2.8650
_cell_length_b 2.8650
_cell_length_c 26.5272
_cell_angle_alpha 90.00
_cell_angle_beta 90.00
_cell_angle_gamma 120.00
loop_
_atom_site_label
_atom_site_type_symbol
_atom_site_fract_x
_atom_site_fract_y
_atom_site_fract_z
Sc1 Sc 0.0000 0.0000 0.0000
Tc1 Tc 0.0000 0.0000 0.5000
Ir1 Ir 0.0000 0.0000 0.2481
```

***

Uncorrected energy
In order: -0.731, -0.720, -0.672, -0.536, -0.611, -0.573, -0.618, -0.605, -0.530, -0.555, -0.413, -0.501, -0.642
Unit: Ry/atom